## Mn2SnP3O12 (PBE with a Hubbard U)

Data for a geometry-optimized Mn2SnP3O12 structure.

## Properties
electronic total energy	-0.528	Ry/atom
V	12.958	Å³ per atom

abc: 8.601 8.601 8.601
angles: 61.65 61.65 61.65
Sites, in units of the cell vectors:
Mn 0.151 0.151 0.151
Mn 0.349 0.349 0.349
Mn 0.651 0.651 0.651
Mn 0.849 0.849 0.849
Sn 0.000 0.000 0.000
Sn 0.500 0.500 0.500
P 0.053 0.750 0.447
P 0.250 0.553 0.947
P 0.447 0.053 0.750
P 0.553 0.947 0.250
P 0.750 0.447 0.053
P 0.947 0.250 0.553
O 0.016 0.822 0.595
O 0.072 0.902 0.244
O 0.095 0.322 0.516
O 0.098 0.756 0.928
O 0.178 0.405 0.984
O 0.244 0.072 0.902
O 0.256 0.598 0.428
O 0.322 0.516 0.095
O 0.402 0.572 0.744
O 0.405 0.984 0.178
O 0.428 0.256 0.598
O 0.484 0.905 0.678
O 0.516 0.095 0.322
O 0.572 0.744 0.402
O 0.595 0.016 0.822
O 0.598 0.428 0.256
O 0.678 0.484 0.905
O 0.744 0.402 0.572
O 0.756 0.928 0.098
O 0.822 0.595 0.016
O 0.902 0.244 0.072
O 0.905 0.678 0.484
O 0.928 0.098 0.756
O 0.984 0.178 0.405